The following is a PBE-GGA calculation of a geometry-optimized Nd2ErThBi5 structure, from Alexandria via LeMat-Bulk.

Unit cell a=5.754 b=5.754 c=11.864 alpha=90.00 beta=90.00 gamma=90.00
Space group P4/mmm (No. 123)
Symmetry-distinct sites (fractional):
Nd: 0.000 0.000 0.219 x2
Er: 0.500 0.500 0.500 x1
Th: 0.500 0.500 0.000 x1
Bi: 0.000 0.000 0.500 x1
Bi: 0.000 0.500 0.000 x2
Bi: 0.500 0.500 0.258 x2

Results
* E_form: 66.9 meV per atom
* D(E_F): 0.804 states/eV per atom
* total energy: -4.480 eV/atom